(1)
{
  "formula": "OsRh3",
  "functional": "GGA-PBEsol",
  "state": "optimized geometry",
  "n_ef_per_ev_fu": 4.5,
  "total_magnetization_mub_per_atom": 0.000,
  "delta_e_f_ev_per_atom": 0.025,
  "e_tot_ev_per_atom": -9.13,
  "lattice": [[2.672, 0.000, 0.000], [0.000, 3.796, 0.000], [0.000, 0.000, 5.350]],
  "species": ["Os", "Rh", "Rh", "Rh"],
  "frac_coords": [[0.000, 0.000, 0.000], [0.000, 0.000, 0.500], [0.500, 0.500, 0.246], [0.500, 0.500, 0.754]]
}

(2)
{
  "formula": "HfBiPtBr2",
  "functional": "GGA-PBEsol",
  "state": "optimized geometry",
  "n_ef_per_ev_fu": 4.7,
  "total_magnetization_mub_per_atom": 0.158,
  "e_tot_ev_per_atom": -5.08,
  "lattice": [[5.014, 0.000, 0.000], [0.000, 5.014, 0.000], [0.000, 0.000, 5.236]],
  "species": ["Hf", "Bi", "Pt", "Br", "Br"],
  "frac_coords": [[0.000, 0.000, 0.000], [0.500, 0.500, 0.500], [0.000, 0.000, 0.500], [0.000, 0.500, 0.000], [0.500, 0.000, 0.000]]
}

(3)
{
  "formula": "LiIn2Rh",
  "functional": "GGA-PBEsol",
  "state": "optimized geometry",
  "n_ef_per_ev_fu": 1.7,
  "total_magnetization_mub_per_atom": 0.000,
  "delta_e_f_ev_per_atom": -0.352,
  "polymorph_energy_ev_per_atom": 0.090,
  "e_tot_ev_per_atom": -4.37,
  "lattice": [[4.455, 0.000, 0.000], [0.000, 4.455, 0.000], [0.000, 0.000, 3.351]],
  "species": ["Li", "In", "In", "Rh"],
  "frac_coords": [[0.000, 0.000, 0.000], [0.000, 0.500, 0.500], [0.500, 0.000, 0.500], [0.500, 0.500, 0.000]]
}

(4)
{
  "formula": "K2PtAu",
  "functional": "GGA-PBEsol",
  "state": "optimized geometry",
  "n_ef_per_ev_fu": 1.3,
  "total_magnetization_mub_per_atom": 0.000,
  "delta_e_f_ev_per_atom": 0.302,
  "polymorph_energy_ev_per_atom": 0.132,
  "e_tot_ev_per_atom": -2.99,
  "lattice": [[1.533, 0.885, 10.579], [-1.533, 0.885, 10.579], [0.000, -1.770, 10.579]],
  "species": ["K", "K", "Pt", "Au"],
  "frac_coords": [[0.247, 0.247, 0.247], [0.753, 0.753, 0.753], [0.500, 0.500, 0.500], [0.000, 0.000, 0.000]]
}

(5)
{
  "formula": "SrPrInO4",
  "functional": "GGA-PBEsol",
  "state": "optimized geometry",
  "n_ef_per_ev_fu": 0.0,
  "total_magnetization_mub_per_atom": 0.000,
  "e_tot_ev_per_atom": -6.98,
  "lattice": [[5.828, 0.000, 0.000], [0.000, 5.945, 0.000], [0.000, 0.000, 12.369]],
  "species": ["Sr", "Sr", "Sr", "Sr", "Pr", "Pr", "Pr", "Pr", "In", "In", "In", "In", "O", "O", "O", "O", "O", "O", "O", "O", "O", "O", "O", "O", "O", "O", "O", "O"],
  "frac_coords": [[0.006, 0.043, 0.352], [0.494, 0.957, 0.852], [0.506, 0.457, 0.648], [0.994, 0.543, 0.148], [0.014, 0.438, 0.852], [0.486, 0.562, 0.352], [0.514, 0.062, 0.148], [0.986, 0.938, 0.648], [0.004, 0.993, 0.001], [0.496, 0.007, 0.501], [0.504, 0.507, 0.999], [0.996, 0.493, 0.499], [0.078, 0.043, 0.823], [0.107, 0.461, 0.332], [0.191, 0.197, 0.539], [0.217, 0.285, 0.029], [0.283, 0.715, 0.529], [0.309, 0.803, 0.039], [0.393, 0.539, 0.832], [0.422, 0.957, 0.323], [0.578, 0.457, 0.177], [0.607, 0.039, 0.668], [0.691, 0.303, 0.461], [0.717, 0.215, 0.971], [0.783, 0.785, 0.471], [0.809, 0.697, 0.961], [0.893, 0.961, 0.168], [0.922, 0.543, 0.677]]
}

(6)
{
  "formula": "BeNb3Ir",
  "functional": "GGA-PBEsol",
  "state": "optimized geometry",
  "n_ef_per_ev_fu": 7.3,
  "total_magnetization_mub_per_atom": 0.000,
  "delta_e_f_ev_per_atom": 0.533,
  "e_tot_ev_per_atom": -8.72,
  "lattice": [[4.312, 0.000, 0.000], [0.000, 4.312, 0.000], [0.000, 0.000, 4.312]],
  "species": ["Be", "Nb", "Nb", "Nb", "Ir"],
  "frac_coords": [[0.000, 0.000, 0.000], [0.000, 0.000, 0.500], [0.000, 0.500, 0.000], [0.500, 0.000, 0.000], [0.500, 0.500, 0.500]]
}

(7)
{
  "formula": "Cd2TeAu",
  "functional": "GGA-PBEsol",
  "state": "optimized geometry",
  "n_ef_per_ev_fu": 1.0,
  "total_magnetization_mub_per_atom": 0.000,
  "e_tot_ev_per_atom": -2.50,
  "lattice": [[5.153, 0.000, 0.000], [0.000, 2.951, 3.034], [0.000, -2.951, 3.034]],
  "species": ["Cd", "Cd", "Te", "Au"],
  "frac_coords": [[0.000, 0.000, 0.000], [0.500, 0.259, 0.259], [0.500, 0.747, 0.747], [0.000, 0.468, 0.468]]
}

(8)
{
  "formula": "ZrHgW",
  "functional": "GGA-PBEsol",
  "state": "optimized geometry",
  "n_ef_per_ev_fu": 5.1,
  "total_magnetization_mub_per_atom": 0.610,
  "delta_e_f_ev_per_atom": 1.305,
  "polymorph_energy_ev_per_atom": 1.086,
  "e_tot_ev_per_atom": -6.52,
  "lattice": [[0.000, 3.249, 3.249], [3.249, 0.000, 3.249], [3.249, 3.249, 0.000]],
  "species": ["Zr", "Hg", "W"],
  "frac_coords": [[0.000, 0.000, 0.000], [0.750, 0.750, 0.750], [0.250, 0.250, 0.250]]
}

Q: Number 1 is which compound?
A: OsRh3